MnCrTc | GGA-PBEsol | relaxed

abc: 3.924 3.924 3.924
angles: 60.00 60.00 60.00
Last column: magnetic moment on the atom in μB.
Sites, in units of the cell vectors:
Tc1 0.500 0.500 0.500  0.55
Cr1 0.250 0.250 0.250  -0.89
Mn1 0.000 0.000 0.000  2.49

Values from the calculation:
Energy of formation ... 2.099 eV/f.u.

Li4MnCrO6 | GGA-PBEsol | relaxed

abc: 4.910 4.910 4.985
angles: 99.68 99.68 119.85
Last column: magnetic moment on the atom in μB.
Sites, in units of the cell vectors:
O1 0.779 0.781 0.272  0.02
O2 0.219 0.221 0.728  0.02
O3 0.578 0.934 0.724  0.01
Mn1 0.833 0.167 0.500  2.74
Li1 0.500 0.500 0.500  0.00
Li2 0.340 0.660 0.000  0.00
Li3 0.661 0.339 0.000  0.00
Cr1 0.168 0.832 0.500  1.97
O4 0.932 0.574 0.726  0.02
O5 0.426 0.068 0.274  0.02
Li4 0.998 0.002 0.000  0.00
O6 0.066 0.422 0.276  0.01

Values from the calculation:
Formation energy without anion corrections ... -2.022 eV per atom

SbOs3 | GGA-PBEsol | relaxed

abc: 2.881 2.881 8.784
angles: 80.56 80.56 60.00
Sites, in units of the cell vectors:
Os1 0.248 0.248 0.256
Os2 0.500 0.500 0.500
Os3 0.752 0.752 0.744
Sb1 0.000 0.000 0.000

Values from the calculation:
Formation energy without anion corrections ... 0.608 eV per atom

KSrMg2 | GGA-PBEsol | relaxed

abc: 5.633 5.907 5.633
angles: 118.47 90.00 118.47
Sites, in units of the cell vectors:
K1 0.250 0.500 0.750
Sr1 0.500 0.000 0.500
Mg1 0.750 0.500 0.250
Mg2 0.000 0.000 0.000

Values from the calculation:
Energy of formation ... 0.641 eV/f.u.

Hf3ReNi | GGA-PBEsol | relaxed

abc: 4.927 4.927 4.927
angles: 90.00 90.00 90.00
Sites, in units of the cell vectors:
Hf1 0.000 0.500 0.000
Hf2 0.500 0.000 0.000
Hf3 0.000 0.000 0.500
Ni1 0.500 0.500 0.500
Re1 0.000 0.000 0.000

Values from the calculation:
Energy of formation ... 5.098 eV/f.u.

AgHgN2F | GGA-PBEsol | relaxed

abc: 4.039 4.039 4.315
angles: 90.00 90.00 90.00
Last column: magnetic moment on the atom in μB.
Sites, in units of the cell vectors:
N1 0.500 0.000 0.000  0.81
F1 0.000 0.000 0.500  0.01
Hg1 0.500 0.500 0.500  -0.06
Ag1 0.000 0.000 0.000  0.15
N2 0.000 0.500 0.000  0.81

Values from the calculation:
Formation energy without anion corrections ... 1.197 eV per atom

RbCa3Cl | GGA-PBEsol | relaxed

abc: 7.168 7.168 7.168
angles: 90.00 90.00 90.00
Sites, in units of the cell vectors:
Ca1 0.000 0.000 0.500
Ca2 0.000 0.500 0.000
Cl1 0.500 0.500 0.500
Rb1 0.000 0.000 0.000
Ca3 0.500 0.000 0.000

Values from the calculation:
Formation energy without anion corrections ... 0.718 eV per atom

Cd2AgSe | GGA-PBEsol | relaxed

abc: 3.962 3.962 6.846
angles: 73.18 73.18 60.00
Sites, in units of the cell vectors:
Se1 0.500 0.500 0.500
Cd1 0.749 0.749 0.753
Ag1 0.000 0.000 0.000
Cd2 0.251 0.251 0.247

Values from the calculation:
Formation energy without anion corrections ... -0.066 eV per atom

no.,energy (hartree per atom)
1,-0.35733
2,-0.25610
3,-0.35622
4,-0.05298
5,-0.33736
6,-0.12402
7,-0.04295
8,-0.09022